The following is a DFT calculation (PBE-GGA) of a relaxed NdHfAlPt2 crystal.

The space group is I-4m2 (No. 119) and the conventional cell measures 4.229, 4.229 and 11.796 Å, with angles of 90.00, 90.00 and 90.00 degrees. The asymmetric unit holds Nd at (0.000, 0.000, 0.000), Hf at (0.000, 0.500, 0.750), Al at (0.000, 0.500, 0.250) and Pt at (0.000, 0.000, 0.386).

The total magnetization comes out at 0.00 Bohr magnetons per cell. The value obtained for the formation energy is -1.04 eV per atom.

The following is a DFT calculation (PBE-GGA) of a relaxed CuCl3 crystal.

The space group is P-4m2 (No. 115) and the conventional cell measures 3.426, 3.426 and 9.279 Å, with angles of 90.00, 90.00 and 90.00 degrees. The asymmetric unit holds Cu at (0.000, 0.000, 0.000), Cl at (0.000, 0.500, 0.155) and Cl at (0.500, 0.500, 0.500).

The total magnetization comes out at 1.75 Bohr magnetons per cell. The energy relative to the elements, uncorrected comes out at -0.056 eV/atom.

The following is a DFT calculation (PBE-GGA) of a relaxed AlAuSe3 crystal.

The space group is Pm-3m (No. 221) and the conventional cell measures 5.118, 5.118 and 5.118 Å, with angles of 90.00, 90.00 and 90.00 degrees. The asymmetric unit holds Al at (0.000, 0.000, 0.000), Au at (0.500, 0.500, 0.500) and Se at (0.000, 0.500, 0.500).

The total magnetization comes out at 0.00 Bohr magnetons per cell. The energy relative to the elements, uncorrected comes out at 0.571 eV/atom. The energy above the lowest structure with this stoichiometry comes out at 1.15 eV per formula unit.

The following is a DFT calculation (PBE-GGA) of a relaxed SrIrRu2 crystal.

The space group is I4/mmm (No. 139) and the conventional cell measures 4.183, 4.183 and 7.995 Å, with angles of 90.00, 90.00 and 90.00 degrees. The asymmetric unit holds Sr at (0.000, 0.000, 0.000), Ir at (0.000, 0.000, 0.500) and Ru at (0.000, 0.500, 0.250).

The total magnetization comes out at 0.00 Bohr magnetons per cell. The value obtained for the formation energy is 0.80 eV per atom. The energy above the lowest structure with this stoichiometry comes out at 1.60 eV per formula unit.

The following is a DFT calculation (PBE-GGA) of a relaxed MnMoI3 crystal.

The space group is Pm-3m (No. 221) and the conventional cell measures 5.645, 5.645 and 5.645 Å, with angles of 90.00, 90.00 and 90.00 degrees. The asymmetric unit holds Mn at (0.000, 0.000, 0.000), Mo at (0.500, 0.500, 0.500) and I at (0.000, 0.000, 0.500).

The total magnetization comes out at 10.00 Bohr magnetons per cell. The energy relative to the elements, uncorrected comes out at 0.726 eV/atom. The energy above the lowest structure with this stoichiometry comes out at 0.00 eV per formula unit.

The following is a DFT calculation (PBE-GGA) of a relaxed ScTl2Hg crystal.

The space group is Imm2 (No. 44) and the conventional cell measures 3.492, 5.261 and 11.173 Å, with angles of 90.00, 90.00 and 90.00 degrees. The asymmetric unit holds Sc at (0.000, 0.000, 0.000), Tl at (0.000, 0.000, 0.514), Tl at (0.000, 0.500, 0.736) and Hg at (0.000, 0.500, 0.285).

The total magnetization comes out at 0.00 Bohr magnetons per cell. The value obtained for the formation energy is -0.10 eV per atom.